Below is a relaxed structure of NaNiAg2F6, with properties calculated at the PBE+U level.

The value obtained for the density is 5.0 g cm⁻³. The total energy is -3.82 eV/atom. The magnetization is 0.304 μB/atom.

Unit cell a=5.5455 b=5.9122 c=9.9006 alpha=90.00 beta=123.50 gamma=90.00
Last column: nearest neighbours and their distance in Å.
Space group P2_1/c (No. 14)
Unique sites:
Na 0.0000 0.0000 0.0000 x2  6 F 2.24-2.45
Ni 0.5000 0.0000 0.5000 x2  6 F 2.01-2.09
Ag 0.2046 0.0749 0.7271 x4  5 F 2.28-2.49
F 0.1529 0.1877 0.4403 x4  1 Ni 2.01, 1 Na 2.24
F 0.2337 0.7267 0.4111 x4  1 Ni 2.03
F 0.4190 0.0802 0.2734 x4  1 Ni 2.09, 2 Ag 2.28



Below is a relaxed structure of NaNiAgF6, with properties calculated at the PBE+U level.

The value obtained for the density is 4.0 g cm⁻³. The total energy is -3.78 eV/atom. The magnetization is 0.444 μB/atom.

Unit cell a=5.4680 b=5.4680 c=9.6261 alpha=90.00 beta=90.00 gamma=120.00
Last column: nearest neighbours and their distance in Å.
Space group P-31c (No. 163)
Unique sites:
Na 0.0000 0.0000 0.0000 x2  6 F 2.34
Ni 0.3333 0.6667 0.2500 x2  6 F 2.03
Ag 0.3333 0.6667 0.7500 x2  6 F 2.13
F 0.0138 0.3616 0.1364 x12  1 Ni 2.03, 1 Ag 2.13



Below is a relaxed structure of Na2NiAg2F6, with properties calculated at the PBE+U level.

The value obtained for the density is 4.3 g cm⁻³. The total energy is -3.95 eV/atom. The magnetization is 0.178 μB/atom.

Unit cell a=5.6675 b=9.8637 c=6.0433 alpha=90.00 beta=100.80 gamma=90.00
Last column: nearest neighbours and their distance in Å.
Space group C2/m (No. 12)
Unique sites:
Na 0.0000 0.1613 0.0000 x4  6 F 2.28-2.35
Ni 0.0000 0.5000 0.0000 x2  6 F 2.00-2.06
Ag 0.0000 0.3462 0.5000 x4  2 F 2.26
F 0.1794 0.3469 0.1956 x8  1 Ni 2.06, 1 Ag 2.26, 1 Na 2.31
F 0.2470 0.0000 0.1902 x4  1 Ni 2.00



Below is a relaxed structure of Na3NiAg3F8, with properties calculated at the PBE+U level.

The value obtained for the density is 4.5 g cm⁻³. The total energy is -3.93 eV/atom. The magnetization is 0.134 μB/atom.

Unit cell a=11.4893 b=6.6042 c=6.8813 alpha=90.00 beta=121.83 gamma=90.00
Last column: nearest neighbours and their distance in Å.
Space group C2/m (No. 12)
Unique sites:
Na 0.0000 0.0000 0.0000 x2  6 F 2.28-2.35
Na 0.2500 0.2500 0.0000 x4  6 F 2.29-2.35
Ni 0.0000 0.5000 0.0000 x2  6 F 2.04-2.05
Ag 0.0000 0.5000 0.5000 x2  6 F 2.48-2.62
Ag 0.2500 0.2500 0.5000 x4  6 F 2.49-2.60
F 0.0106 0.2811 0.8011 x8  1 Ni 2.04
F 0.2098 0.5000 0.1978 x4  1 Ni 2.05
F 0.2336 0.0000 0.2160 x4  3 Na 2.28-2.29, 2 Ag 2.49